Entry from Alexandria: a geometry-optimized Be2Te structure (GGA-PBE).

a b c (Å): 3.623 3.623 3.792
angles (deg): 90.00 90.00 90.00
Fractional coordinates of all 3 atoms:
Be: 0.500 0.000 0.500
Be: 0.000 0.500 0.500
Te: 0.000 0.000 0.000

excess energy over the best structure of this formula in the dataset = 0.517 eV per atom
uncorrected formation energy = 539 meV per atom
VASP energy = -9.0 eV/cell